Density functional theory data (GGA-PBEsol) for crystalline P2RhNCl at its relaxed geometry.

Lattice parameters (Å, degrees): 4.451 4.451 5.050 90.00 90.00 90.00
Last column: magnetic moment on the atom in μB.
Fractional coordinates of all 5 atoms:
Rh1 0.000 0.000 0.000  -0.08
N1 0.500 0.500 0.500  1.72
Cl1 0.000 0.000 0.500  0.06
P1 0.500 0.000 0.000  -0.05
P2 0.000 0.500 0.000  -0.05

Results
Space group = No. 123
Formation energy from raw total energies = 1.381 eV per atom
Fermi-level density of states = 3.26 states/eV/f.u.

=====

Density functional theory data (GGA-PBEsol) for crystalline LiAlNiO3 at its relaxed geometry.

Lattice parameters (Å, degrees): 5.154 5.188 5.388 66.79 69.75 64.84
Last column: magnetic moment on the atom in μB.
Fractional coordinates of all 12 atoms:
Ni1 0.910 0.256 0.095  1.53
O1 0.252 0.887 0.094  0.18
Al1 0.250 0.588 0.410  0.01
O2 0.946 0.572 0.713  0.12
Ni2 0.090 0.744 0.905  1.53
Al2 0.750 0.412 0.590  0.01
O3 0.585 0.269 0.426  0.08
Li1 0.563 0.926 0.758  0.00
O4 0.415 0.731 0.574  0.08
O5 0.748 0.113 0.906  0.18
Li2 0.437 0.074 0.242  0.00
O6 0.054 0.428 0.287  0.12

Results
Space group = No. 2
Formation energy from raw total energies = -1.912 eV per atom
Fermi-level density of states = 1.76 states/eV/f.u.

=====

Density functional theory data (GGA-PBEsol) for crystalline Ta2TcW at its relaxed geometry.

Lattice parameters (Å, degrees): 3.177 4.500 4.500 90.00 90.00 90.00
Fractional coordinates of all 4 atoms:
Tc1 0.500 0.500 0.500
Ta1 0.000 0.000 0.500
Ta2 0.000 0.500 0.000
W1 0.500 0.000 0.000

Results
Excess energy over the best structure of this formula in the dataset = 0.000 eV per atom
Space group = No. 123
DFT formation energy = -286 meV per atom
Fermi-level density of states = 1.56 states/eV/f.u.

=====

Density functional theory data (GGA-PBEsol) for crystalline NbHg2I2 at its relaxed geometry.

Lattice parameters (Å, degrees): 5.955 5.955 5.955 92.28 118.69 118.69
Last column: magnetic moment on the atom in μB.
Fractional coordinates of all 5 atoms:
Nb1 0.000 0.000 0.000  2.30
Hg1 0.000 0.340 0.340  0.01
I1 0.500 0.750 0.250  -0.05
Hg2 0.000 0.660 0.660  0.01
I2 0.500 0.250 0.750  -0.05

Results
Space group = No. 139
Formation energy from raw total energies = 0.694 eV per atom
Fermi-level density of states = 6.11 states/eV/f.u.

=====

Q: Which value of Fermi-level density of states does entry 1 give?
A: 3.26 states/eV/f.u.

=====

Q: Which of these has the lowest Fermi-level density of states?
A: Ta2TcW